1.
This record from the Alexandria database describes a geometry-optimized Ta2FeRu structure. The functional is PBE.

Cell: 6.909 6.909 5.603 Å, 51.94 51.94 90.00°
Fractional positions:
Ru  0.000  0.000  0.000
Ru  0.750  0.250  0.500
Fe  0.500  0.500  0.000
Fe  0.250  0.750  0.500
Ta  0.618  0.125  0.250
Ta  0.132  0.625  0.250
Ta  0.375  0.382  0.750
Ta  0.875  0.868  0.750

Output
**Energy of formation**: 433 meV/atom

***

2.
This record from the Alexandria database describes a geometry-optimized CaTlTe2 structure. The functional is PBE.

Cell: 4.157 4.159 8.358 Å, 60.32 90.00 90.00°
Fractional positions:
Tl  0.500  0.250  0.250
Te  0.000  0.023  0.976
Te  0.000  0.477  0.524
Ca  0.500  0.750  0.750

***

3.
This record from the Alexandria database describes a geometry-optimized SmTm2InC structure. The functional is PBE.

Cell: 5.051 4.852 4.852 Å, 90.00 90.00 90.00°
Fractional positions:
Sm  0.500  0.000  0.000
Tm  0.000  0.000  0.500
Tm  0.000  0.500  0.000
In  0.500  0.500  0.500
C  0.000  0.000  0.000

Output
**Energy of formation**: -487 meV/atom

***

4.
This record from the Alexandria database describes a geometry-optimized Dy4Mg2Al structure. The functional is PBE.

Cell: 5.194 5.194 8.951 Å, 73.13 73.13 60.00°
Fractional positions:
Dy  0.874  0.874  0.379
Dy  0.126  0.126  0.621
Dy  0.622  0.622  0.135
Dy  0.378  0.378  0.865
Mg  0.746  0.746  0.762
Mg  0.254  0.254  0.238
Al  0.000  0.000  0.000

Output
**Energy of formation**: 20 meV/atom

***

Electronic total energy / eV per atom: -9.928, -3.439, -5.612, -3.600